A relaxed structure of KCa4Cd5, computed with PBE.

Output
The calculation puts the calculated volume at 300.9 Å³/cell. The space group is P4/mmm, No. 123. The calculation puts the calculated formation energy at -0.267 eV/atom.

a b c (Å): 3.840 3.840 20.403
angles (deg): 90.00 90.00 90.00
Element x y z (fractional)
K1 0.000 0.000 0.000
Ca1 0.000 0.000 0.216
Ca2 0.000 0.000 0.406
Ca3 0.000 0.000 0.594
Ca4 0.000 0.000 0.784
Cd1 0.500 0.500 0.125
Cd2 0.500 0.500 0.312
Cd3 0.500 0.500 0.500
Cd4 0.500 0.500 0.688
Cd5 0.500 0.500 0.875